## NaMoRu2 (PBE)

Data for crystalline NaMoRu2 at its relaxed geometry.

Structure (CIF):
```
data_NaMoRu2
_chemical_formula_sum 'Na4 Mo4 Ru8'
_symmetry_space_group_name_H-M 'F m -3 m'
_symmetry_Int_Tables_number 225
_symmetry_space_group_name_Hall '-F 4 2 3'
_cell_length_a 6.218
_cell_length_b 6.218
_cell_length_c 6.218
_cell_angle_alpha 90.00
_cell_angle_beta 90.00
_cell_angle_gamma 90.00
loop_
_atom_site_label
_atom_site_fract_x
_atom_site_fract_y
_atom_site_fract_z
Na1 0.000 0.000 0.000
Mo1 0.000 0.000 0.500
Ru1 0.250 0.250 0.250
```

Properties
The calculation puts the total magnetization at 0.0000 μB per atom. The crystal system is cubic. Its energy above the most stable polymorph in this dataset is 0 meV/atom. As for the formation energy: 205.6 kJ/mol of formula units. The calculation puts the density of states at the Fermi level at 0.80 states/eV per atom.